#P
AgAs3 at its PBEsol-relaxed geometry. Source: Alexandria, functional meta-GGA SCAN.

a b c (Å): 5.828 5.828 5.828
angles (deg): 144.62 138.44 55.70
Sites, in units of the cell vectors:
Ag  0.000  0.000  0.000
As  0.297  0.797  0.500
As  0.500  0.500  0.000
As  0.703  0.203  0.500

The density is 7.3 Mg/m³. As for the space group: No. 71.


#Q
AgAs3 at its PBEsol-relaxed geometry. Source: Alexandria, functional meta-GGA SCAN.

a b c (Å): 6.444 6.444 3.962
angles (deg): 90.00 90.00 111.90
Sites, in units of the cell vectors:
Ag  0.093  0.907  0.750
Ag  0.907  0.093  0.250
As  0.203  0.386  0.750
As  0.262  0.738  0.250
As  0.386  0.203  0.250
As  0.614  0.797  0.750
As  0.738  0.262  0.750
As  0.797  0.614  0.250

The density is 7.2 Mg/m³. As for the space group: No. 63.


#R
AgAs3 at its PBEsol-relaxed geometry. Source: Alexandria, functional meta-GGA SCAN.

a b c (Å): 5.398 5.398 5.375
angles (deg): 90.00 90.00 90.07
Sites, in units of the cell vectors:
Ag  0.035  0.965  0.750
Ag  0.965  0.035  0.250
As  0.010  0.535  0.250
As  0.465  0.990  0.250
As  0.470  0.530  0.250
As  0.530  0.470  0.750
As  0.535  0.010  0.750
As  0.990  0.465  0.750

The density is 7.1 Mg/m³. As for the space group: No. 63.


#S
AgAs3 at its PBEsol-relaxed geometry. Source: Alexandria, functional meta-GGA SCAN.

a b c (Å): 2.903 4.247 5.979
angles (deg): 90.00 90.00 90.00
Sites, in units of the cell vectors:
Ag  0.000  0.000  0.000
As  0.000  0.000  0.500
As  0.500  0.500  0.227
As  0.500  0.500  0.773

The density is 7.5 Mg/m³. As for the space group: No. 47.


Energy ordering: #R at the bottom, the next structure 16.1 kJ/mol of atoms above.


#P
Ag5As at its PBEsol-relaxed geometry. Source: Alexandria, functional meta-GGA SCAN.

a b c (Å): 5.005 5.005 4.645
angles (deg): 90.00 90.00 120.00
Sites, in units of the cell vectors:
Ag  0.000  0.668  0.000
Ag  0.332  0.332  0.000
Ag  0.333  0.667  0.500
Ag  0.667  0.333  0.500
Ag  0.668  0.000  0.000
As  0.000  0.000  0.500

The density is 10.1 Mg/m³. As for the space group: No. 189.


#Q
Ag5As at its PBEsol-relaxed geometry. Source: Alexandria, functional meta-GGA SCAN.

a b c (Å): 6.502 6.502 4.060
angles (deg): 90.00 90.00 143.95
Sites, in units of the cell vectors:
Ag  0.000  0.000  0.000
Ag  0.167  0.833  0.500
Ag  0.332  0.668  0.000
Ag  0.668  0.332  0.000
Ag  0.833  0.167  0.500
As  0.500  0.500  0.500

The density is 10.1 Mg/m³. As for the space group: No. 65.


Energy ordering: #Q at the bottom, the next structure 0.6 kJ/mol of atoms above.


#P
Ag5As at its PBEsol-relaxed geometry. Source: Alexandria, functional meta-GGA SCAN.

a b c (Å): 5.503 5.503 6.849
angles (deg): 104.34 104.34 30.31
Sites, in units of the cell vectors:
Ag  0.000  0.000  0.000
Ag  0.053  0.053  0.610
Ag  0.330  0.330  0.667
Ag  0.390  0.390  0.281
Ag  0.666  0.666  0.334
As  0.723  0.723  0.950

The density is 10.1 Mg/m³. As for the space group: No. 8.


#Q
Ag5As at its PBEsol-relaxed geometry. Source: Alexandria, functional meta-GGA SCAN.

a b c (Å): 4.705 7.664 7.664
angles (deg): 21.52 90.00 90.00
Sites, in units of the cell vectors:
Ag  0.000  0.000  0.000
Ag  0.000  0.332  0.332
Ag  0.000  0.666  0.666
Ag  0.500  0.109  0.109
Ag  0.500  0.774  0.774
As  0.500  0.440  0.440

The density is 10.1 Mg/m³. As for the space group: No. 38.


Energy ordering: #P at the bottom, the next structure 1.0 kJ/mol of atoms above.


#P
Ag2As at its PBEsol-relaxed geometry. Source: Alexandria, functional meta-GGA SCAN.

a b c (Å): 4.600 4.600 2.859
angles (deg): 90.00 90.00 120.00
Sites, in units of the cell vectors:
Ag  0.333  0.667  0.249
Ag  0.667  0.333  0.751
As  0.000  0.000  0.500

The density is 9.2 Mg/m³. As for the space group: No. 164.


#Q
Ag2As at its PBEsol-relaxed geometry. Source: Alexandria, functional meta-GGA SCAN.

a b c (Å): 5.058 5.058 5.058
angles (deg): 146.08 133.89 58.46
Sites, in units of the cell vectors:
Ag  0.166  0.166  0.000
Ag  0.834  0.834  0.000
As  0.500  0.500  0.000

The density is 9.4 Mg/m³. As for the space group: No. 71.


Energy ordering: #Q at the bottom, the next structure 4.0 kJ/mol of atoms above.


#P
AgAs2Au at its PBEsol-relaxed geometry. Source: Alexandria, functional meta-GGA SCAN.

a b c (Å): 4.194 3.437 5.383
angles (deg): 90.00 107.95 90.00
Sites, in units of the cell vectors:
Ag  0.000  0.000  0.000
As  0.000  0.000  0.500
As  0.500  0.500  0.000
Au  0.500  0.500  0.500

The density is 10.2 Mg/m³. As for the space group: No. 10.


#Q
AgAs2Au at its PBEsol-relaxed geometry. Source: Alexandria, functional meta-GGA SCAN.

a b c (Å): 2.765 4.816 5.414
angles (deg): 90.00 90.00 90.00
Sites, in units of the cell vectors:
Ag  0.000  0.000  0.000
As  0.500  0.500  0.244
As  0.500  0.500  0.756
Au  0.500  0.000  0.500

The density is 10.5 Mg/m³. As for the space group: No. 47.


Energy ordering: #Q at the bottom, the next structure 1.2 kJ/mol of atoms above.


#P
Ag2AsBr at its PBEsol-relaxed geometry. Source: Alexandria, functional meta-GGA SCAN.

a b c (Å): 5.196 5.196 5.196
angles (deg): 131.08 131.08 71.69
Sites, in units of the cell vectors:
Ag  0.250  0.750  0.500
Ag  0.750  0.250  0.500
As  0.000  0.000  0.000
Br  0.500  0.500  0.000

The density is 7.9 Mg/m³. As for the space group: No. 139.


#Q
Ag2AsBr at its PBEsol-relaxed geometry. Source: Alexandria, functional meta-GGA SCAN.

a b c (Å): 4.954 4.954 3.313
angles (deg): 90.00 90.00 106.80
Sites, in units of the cell vectors:
Ag  0.000  0.500  0.000
Ag  0.500  0.000  0.000
As  0.000  0.000  0.500
Br  0.500  0.500  0.500

The density is 7.9 Mg/m³. As for the space group: No. 65.


Energy ordering: #Q at the bottom, the next structure 15.2 kJ/mol of atoms above.